Here is crystalline Be15Tc2Ni2 at its relaxed geometry from the Alexandria database. Energies are from PBE.

Computed properties:
calculated volume = 493.3 Å³/cell
formation energy from the elements = -0.224 eV/atom
Fermi-level density of states = 7.13 states/eV/f.u.
total energy = -277.3 eV for the cell shown

Cell: 7.2685 7.2685 10.7825 Å, 90.00 90.00 120.00°
Space group R-3m (No. 166, hexagonal axes)
Symmetry-distinct sites (fractional):
Be 0.0000 0.3009 0.0000
Be 0.0000 0.5000 0.5000
Be 0.0090 0.5045 0.1534
Tc 0.0000 0.0000 0.3479
Ni 0.0000 0.0000 0.1048


Here is crystalline Sr2ZnTe at its relaxed geometry from the Alexandria database. Energies are from PBE.

Computed properties:
calculated volume = 470.9 Å³/cell
Fermi-level density of states = 0.79 states/eV/f.u.
relative energy among the computed polymorphs = 288 meV/atom
energy relative to the elements, uncorrected = -0.527 eV/atom
total energy = -29.7 eV for the cell shown

Cell: 4.4950 4.4950 26.9120 Å, 90.00 90.00 120.00°
Space group R3m (No. 160, hexagonal axes)
Symmetry-distinct sites (fractional):
Sr 0.0000 0.0000 0.0000
Sr 0.0000 0.0000 0.2004
Zn 0.0000 0.0000 0.7365
Te 0.0000 0.0000 0.4548


Here is crystalline NaMgHO2 at its relaxed geometry from the Alexandria database. Energies are from PBE.

Computed properties:
calculated volume = 219.0 Å³/cell
Fermi-level density of states = 0.00 states/eV/f.u.
total energy = -97.9 eV for the cell shown

Cell: 5.809 10.792 3.494 Å, 90.00 90.00 90.00°
Space group Cmme (No. 67)
Symmetry-distinct sites (fractional):
Na 0.000 0.250 0.237
Mg 0.250 0.000 0.500
H 0.000 0.000 0.000
O 0.000 0.092 0.782


Here is crystalline CeHo2Pb at its relaxed geometry from the Alexandria database. Energies are from PBE.

Computed properties:
calculated volume = 451.0 Å³/cell
formation energy from the elements = -0.041 eV/atom
Fermi-level density of states = 8.77 states/eV/f.u.
relative energy among the computed polymorphs = 208 meV/atom
total energy = -75.9 eV for the cell shown

Cell: 7.669 7.669 7.669 Å, 90.00 90.00 90.00°
Space group Fm-3m (No. 225)
Symmetry-distinct sites (fractional):
Ce 0.000 0.000 0.000
Ho 0.250 0.250 0.250
Pb 0.000 0.000 0.500


Here is crystalline PmB2RuRh at its relaxed geometry from the Alexandria database. Energies are from PBE.

Computed properties:
calculated volume = 150.7 Å³/cell
formation energy from the elements = -0.580 eV/atom
Fermi-level density of states = 0.49 states/eV/f.u.
total energy = -75.3 eV for the cell shown

Cell: 3.932 3.932 9.749 Å, 90.00 90.00 90.00°
Space group I-4m2 (No. 119)
Symmetry-distinct sites (fractional):
Pm 0.000 0.000 0.000
B 0.000 0.000 0.333
Ru 0.000 0.500 0.750
Rh 0.000 0.500 0.250


Here is crystalline Hf2Ge2Bi at its relaxed geometry from the Alexandria database. Energies are from PBE.

Computed properties:
calculated volume = 212.9 Å³/cell
formation energy from the elements = -0.151 eV/atom
Fermi-level density of states = 5.71 states/eV/f.u.
relative energy among the computed polymorphs = 142 meV/atom
total energy = -67.6 eV for the cell shown

Cell: 7.666 7.666 3.624 Å, 90.00 90.00 90.00°
Space group P4/mbm (No. 127)
Symmetry-distinct sites (fractional):
Hf 0.150 0.350 0.000
Ge 0.140 0.640 0.500
Bi 0.000 0.000 0.500


Here is crystalline Pr2Pd5PtAu2 at its relaxed geometry from the Alexandria database. Energies are from PBE.

Computed properties:
calculated volume = 392.9 Å³/cell
formation energy from the elements = -0.532 eV/atom
Fermi-level density of states = 4.58 states/eV/f.u.
total energy = -106.9 eV for the cell shown

Cell: 9.759 9.759 4.125 Å, 90.00 90.00 90.00°
Space group P4/mbm (No. 127)
Symmetry-distinct sites (fractional):
Pr 0.177 0.323 0.000
Pd 0.000 0.500 0.500
Pd 0.054 0.803 0.500
Pt 0.000 0.000 0.000
Au 0.122 0.622 0.000


Here is crystalline TeRuS2N at its relaxed geometry from the Alexandria database. Energies are from PBE.

Computed properties:
calculated volume = 100.5 Å³/cell
Fermi-level density of states = 4.94 states/eV/f.u.
relative energy among the computed polymorphs = 1096 meV/atom
energy relative to the elements, uncorrected = 1.534 eV/atom
total energy = -21.3 eV for the cell shown

Cell: 5.088 5.088 3.881 Å, 90.00 90.00 90.00°
Space group P4/mmm (No. 123)
Symmetry-distinct sites (fractional):
Te 0.000 0.000 0.000
Ru 0.500 0.500 0.500
S 0.000 0.500 0.000
N 0.000 0.000 0.500


Here is crystalline RbNbRh2 at its relaxed geometry from the Alexandria database. Energies are from PBE.

Computed properties:
calculated volume = 385.7 Å³/cell
formation energy from the elements = 0.697 eV/atom
Fermi-level density of states = 1.56 states/eV/f.u.
relative energy among the computed polymorphs = 0 meV/atom
total energy = -91.8 eV for the cell shown

Cell: 7.506 7.506 6.844 Å, 90.00 90.00 90.00°
Space group I-42d (No. 122)
Symmetry-distinct sites (fractional):
Rb 0.000 0.000 0.000
Nb 0.000 0.000 0.500
Rh 0.180 0.250 0.625


Here is crystalline Tb3SmTm3Te8 at its relaxed geometry from the Alexandria database. Energies are from PBE.

Computed properties:
calculated volume = 1373.9 Å³/cell
Fermi-level density of states = 6.70 states/eV/f.u.
energy relative to the elements, uncorrected = -1.343 eV/atom
total energy = -231.9 eV for the cell shown

Cell: 8.6560 8.6560 21.1726 Å, 90.00 90.00 120.00°
Space group R-3m (No. 166, hexagonal axes)
Symmetry-distinct sites (fractional):
Tb 0.0000 0.5000 0.0000
Sm 0.0000 0.0000 0.5000
Tm 0.0000 0.5000 0.5000
Te 0.0000 0.0000 0.2480
Te 0.0158 0.5079 0.7481


Here is crystalline TlSi4Hg at its relaxed geometry from the Alexandria database. Energies are from PBE.

Computed properties:
calculated volume = 471.9 Å³/cell
Fermi-level density of states = 1.50 states/eV/f.u.
energy relative to the elements, uncorrected = 0.555 eV/atom
total energy = -84.1 eV for the cell shown

Cell: 7.785 7.785 7.785 Å, 90.00 90.00 90.00°
Space group F-43m (No. 216)
Symmetry-distinct sites (fractional):
Tl 0.000 0.000 0.000
Si 0.124 0.124 0.376
Hg 0.250 0.250 0.750


Here is crystalline CdBiAu at its relaxed geometry from the Alexandria database. Energies are from PBE.

Computed properties:
calculated volume = 144.1 Å³/cell
formation energy from the elements = 0.007 eV/atom
Fermi-level density of states = 1.36 states/eV/f.u.
total energy = -16.1 eV for the cell shown

Cell: 3.343 3.343 12.889 Å, 90.00 90.00 90.00°
Space group I4mm (No. 107)
Symmetry-distinct sites (fractional):
Cd 0.000 0.000 0.000
Bi 0.000 0.000 0.698
Au 0.000 0.000 0.366


Here is crystalline Tm2TeRh at its relaxed geometry from the Alexandria database. Energies are from PBE.

Computed properties:
calculated volume = 306.8 Å³/cell
Fermi-level density of states = 2.63 states/eV/f.u.
relative energy among the computed polymorphs = 6 meV/atom
energy relative to the elements, uncorrected = -1.015 eV/atom
total energy = -70.5 eV for the cell shown

Cell: 4.0574 4.0574 21.5179 Å, 90.00 90.00 120.00°
Space group R-3m (No. 166, hexagonal axes)
Symmetry-distinct sites (fractional):
Tm 0.0000 0.0000 0.2359
Te 0.0000 0.0000 0.0000
Rh 0.0000 0.0000 0.5000


Here is crystalline GeRhI2 at its relaxed geometry from the Alexandria database. Energies are from PBE.

Computed properties:
calculated volume = 382.5 Å³/cell
Fermi-level density of states = 2.79 states/eV/f.u.
relative energy among the computed polymorphs = 151 meV/atom
energy relative to the elements, uncorrected = 0.568 eV/atom
total energy = -51.2 eV for the cell shown

Cell: 7.259 7.259 7.259 Å, 90.00 90.00 90.00°
Space group Fm-3m (No. 225)
Symmetry-distinct sites (fractional):
Ge 0.000 0.000 0.000
Rh 0.000 0.000 0.500
I 0.250 0.250 0.250


Here is crystalline Li8Ga2Bi at its relaxed geometry from the Alexandria database. Energies are from PBE.

Computed properties:
calculated volume = 372.9 Å³/cell
formation energy from the elements = -0.338 eV/atom
Fermi-level density of states = 2.08 states/eV/f.u.
total energy = -57.9 eV for the cell shown

Cell: 15.338 4.530 5.366 Å, 90.00 90.38 90.00°
Space group C2/m (No. 12)
Symmetry-distinct sites (fractional):
Li 0.050 0.000 0.231
Li 0.103 0.500 0.962
Li 0.136 0.000 0.668
Li 0.193 0.500 0.399
Ga 0.221 0.000 0.115
Bi 0.000 0.500 0.500


Here is crystalline SiRhSeBr2 at its relaxed geometry from the Alexandria database. Energies are from PBE.

Computed properties:
calculated volume = 125.7 Å³/cell
Fermi-level density of states = 6.93 states/eV/f.u.
relative energy among the computed polymorphs = 223 meV/atom
energy relative to the elements, uncorrected = 0.651 eV/atom
total energy = -16.4 eV for the cell shown

Cell: 4.992 4.992 5.045 Å, 90.00 90.00 90.00°
Space group P4/mmm (No. 123)
Symmetry-distinct sites (fractional):
Si 0.000 0.000 0.000
Rh 0.500 0.500 0.500
Se 0.000 0.000 0.500
Br 0.000 0.500 0.000


Here is crystalline Er2Zn3Si2 at its relaxed geometry from the Alexandria database. Energies are from PBE.

Computed properties:
calculated volume = 258.4 Å³/cell
Fermi-level density of states = 2.94 states/eV/f.u.
energy relative to the elements, uncorrected = -0.451 eV/atom
total energy = -53.9 eV for the cell shown

Cell: 10.225 4.060 6.315 Å, 90.00 99.71 90.00°
Space group C2/m (No. 12)
Symmetry-distinct sites (fractional):
Er 0.125 0.000 0.341
Zn 0.000 0.500 0.000
Zn 0.197 0.000 0.864
Si 0.088 0.500 0.653


Here is crystalline BaMgTa2Cu at its relaxed geometry from the Alexandria database. Energies are from PBE.

Computed properties:
calculated volume = 143.1 Å³/cell
formation energy from the elements = 2.775 eV/atom
Fermi-level density of states = 5.49 states/eV/f.u.
relative energy among the computed polymorphs = 1732 meV/atom
total energy = -17.4 eV for the cell shown

Cell: 5.141 5.141 5.416 Å, 90.00 90.00 90.00°
Space group P4/mmm (No. 123)
Symmetry-distinct sites (fractional):
Ba 0.000 0.000 0.000
Mg 0.000 0.000 0.500
Ta 0.000 0.500 0.000
Cu 0.500 0.500 0.500


Here is crystalline NdSm4Ho at its relaxed geometry from the Alexandria database. Energies are from PBE.

Computed properties:
calculated volume = 836.7 Å³/cell
formation energy from the elements = 0.261 eV/atom
Fermi-level density of states = 10.03 states/eV/f.u.
relative energy among the computed polymorphs = 245 meV/atom
total energy = -106.6 eV for the cell shown

Cell: 9.423 9.423 9.423 Å, 90.00 90.00 90.00°
Space group F-43m (No. 216)
Symmetry-distinct sites (fractional):
Nd 0.000 0.000 0.000
Sm 0.124 0.124 0.376
Ho 0.250 0.250 0.750


Here is crystalline TlGe2Se2 at its relaxed geometry from the Alexandria database. Energies are from PBE.

Computed properties:
calculated volume = 264.7 Å³/cell
Fermi-level density of states = 1.68 states/eV/f.u.
relative energy among the computed polymorphs = 79 meV/atom
energy relative to the elements, uncorrected = -0.037 eV/atom
total energy = -37.5 eV for the cell shown

Cell: 8.417 8.417 3.736 Å, 90.00 90.00 90.00°
Space group P4/mbm (No. 127)
Symmetry-distinct sites (fractional):
Tl 0.000 0.000 0.000
Ge 0.155 0.345 0.000
Se 0.200 0.700 0.500